(1)
## InAgHg2 (PBE)

Data for a relaxed structure of InAgHg2.

```
InAgHg2
1.0
3.746 0.000 0.000
0.000 4.110 0.000
-0.153 0.000 6.028
In Ag Hg
1 1 2
direct
0.000 0.000 0.000
0.489 0.500 0.240
0.488 0.500 0.740
0.976 0.000 0.486
```

Calculated values
ΔH_f (0 K) = 0.07 eV/atom


(2)
## In2AgHg4 (PBE)

Data for a relaxed structure of In2AgHg4.

```
In2AgHg4
1.0
5.501 0.000 0.000
0.000 5.501 0.000
0.000 0.000 14.631
In Ag Hg
4 2 8
direct
0.000 0.000 0.109
0.000 0.000 0.891
0.500 0.500 0.391
0.500 0.500 0.609
0.000 0.000 0.500
0.500 0.500 0.000
0.000 0.000 0.308
0.000 0.000 0.692
0.000 0.500 0.000
0.000 0.500 0.500
0.500 0.000 0.000
0.500 0.000 0.500
0.500 0.500 0.192
0.500 0.500 0.808
```

Calculated values
ΔH_f (0 K) = 0.15 eV/atom


(3)
## InAgHg (PBE)

Data for a relaxed structure of InAgHg.

```
InAgHg
1.0
3.931 0.000 0.000
0.000 3.945 0.000
0.000 0.000 8.749
In Ag Hg
2 2 2
direct
0.000 0.000 0.000
0.500 0.500 0.500
0.000 0.000 0.334
0.500 0.500 0.834
0.000 0.000 0.668
0.500 0.500 0.168
```

Calculated values
ΔH_f (0 K) = 0.05 eV/atom


(4)
## InAg4Hg (PBE)

Data for a relaxed structure of InAg4Hg.

```
InAg4Hg
1.0
2.941 -8.288 0.000
2.941 8.288 0.000
-0.525 0.000 4.889
In Ag Hg
2 8 2
direct
0.127 0.873 0.750
0.873 0.127 0.250
0.040 0.459 0.751
0.207 0.288 0.736
0.288 0.207 0.236
0.459 0.040 0.251
0.541 0.960 0.749
0.712 0.793 0.764
0.793 0.712 0.264
0.960 0.541 0.249
0.377 0.623 0.250
0.623 0.377 0.750
```

Calculated values
ΔH_f (0 K) = 0.08 eV/atom


(5)
## In6Ag12Hg (PBE)

Data for a relaxed structure of In6Ag12Hg.

```
In6Ag12Hg
1.0
5.777 3.336 3.386
-5.777 3.336 3.386
0.000 -6.671 3.386
In Ag Hg
6 12 1
direct
0.060 0.323 0.329
0.323 0.329 0.060
0.329 0.060 0.323
0.671 0.940 0.677
0.677 0.671 0.940
0.940 0.677 0.671
0.092 0.097 0.680
0.097 0.680 0.092
0.241 0.502 0.757
0.243 0.759 0.498
0.320 0.908 0.903
0.498 0.243 0.759
0.502 0.757 0.241
0.680 0.092 0.097
0.757 0.241 0.502
0.759 0.498 0.243
0.903 0.320 0.908
0.908 0.903 0.320
0.500 0.500 0.500
```

Calculated values
ΔH_f (0 K) = 0.04 eV/atom


(6)
## InAgHg2 (PBE)

Data for a relaxed structure of InAgHg2.

```
InAgHg2
1.0
9.711 0.000 0.000
0.000 3.767 0.000
-1.064 0.000 5.093
In Ag Hg
2 2 4
direct
0.000 0.000 0.000
0.500 0.500 0.000
0.257 0.000 0.768
0.757 0.500 0.768
0.010 0.500 0.532
0.254 0.500 0.267
0.510 0.000 0.532
0.754 0.000 0.267
```

Calculated values
ΔH_f (0 K) = 0.06 eV/atom


(7)
## InAg2Hg (PBE)

Data for a relaxed structure of InAg2Hg.

```
InAg2Hg
1.0
6.309 0.000 0.000
0.000 8.677 0.000
0.000 0.000 3.024
In Ag Hg
2 4 2
direct
0.000 0.000 0.000
0.500 0.500 0.000
0.250 0.250 0.500
0.250 0.750 0.500
0.750 0.250 0.500
0.750 0.750 0.500
0.000 0.500 0.000
0.500 0.000 0.000
```

Calculated values
ΔH_f (0 K) = 0.05 eV/atom


(8)
## InAg2Hg (PBE)

Data for a relaxed structure of InAg2Hg.

```
InAg2Hg
1.0
3.256 0.000 0.000
-1.628 2.820 0.000
0.000 0.000 28.052
In Ag Hg
3 6 3
direct
0.000 0.000 0.000
0.333 0.667 0.667
0.667 0.333 0.333
0.000 0.000 0.251
0.000 0.000 0.506
0.333 0.667 0.173
0.333 0.667 0.918
0.667 0.333 0.584
0.667 0.333 0.840
0.000 0.000 0.757
0.333 0.667 0.424
0.667 0.333 0.090
```

Calculated values
ΔH_f (0 K) = 0.06 eV/atom


(9)
## In8AgHg3 (PBE)

Data for a relaxed structure of In8AgHg3.

```
In8AgHg3
1.0
3.123 -5.672 0.000
3.123 5.672 0.000
-0.525 0.000 8.816
In Ag Hg
8 1 3
direct
0.205 0.732 0.677
0.251 0.251 0.178
0.254 0.254 0.807
0.268 0.795 0.323
0.732 0.205 0.677
0.746 0.746 0.193
0.749 0.749 0.822
0.795 0.268 0.323
0.000 0.000 0.500
0.000 0.500 0.000
0.500 0.000 0.000
0.500 0.500 0.500
```

Calculated values
ΔH_f (0 K) = 0.02 eV/atom


(10)
## In6AgHg12 (PBE)

Data for a relaxed structure of In6AgHg12.

```
In6AgHg12
1.0
6.743 3.893 3.216
-6.743 3.893 3.216
0.000 -7.786 3.216
In Ag Hg
6 1 12
direct
0.231 0.512 0.748
0.252 0.769 0.488
0.488 0.252 0.769
0.512 0.748 0.231
0.748 0.231 0.512
0.769 0.488 0.252
0.000 0.000 0.000
0.060 0.117 0.694
0.116 0.357 0.341
0.117 0.694 0.060
0.306 0.940 0.883
0.341 0.116 0.357
0.357 0.341 0.116
0.643 0.659 0.884
0.659 0.884 0.643
0.694 0.060 0.117
0.883 0.306 0.940
0.884 0.643 0.659
0.940 0.883 0.306
```

Calculated values
ΔH_f (0 K) = 0.04 eV/atom


(11)
## InAg2Hg (PBE)

Data for a relaxed structure of InAg2Hg.

```
InAg2Hg
1.0
11.467 0.000 0.000
0.000 3.078 0.000
-1.767 0.000 4.774
In Ag Hg
2 4 2
direct
0.000 0.000 0.000
0.500 0.500 0.000
0.035 0.500 0.520
0.249 0.000 0.889
0.535 0.000 0.520
0.749 0.500 0.889
0.282 0.500 0.407
0.782 0.000 0.407
```

Calculated values
ΔH_f (0 K) = 0.03 eV/atom


(12)
## In2AgHg3 (PBE)

Data for a relaxed structure of In2AgHg3.

```
In2AgHg3
1.0
3.277 0.000 0.000
0.000 5.112 0.000
0.000 0.000 8.950
In Ag Hg
2 1 3
direct
0.000 0.000 0.000
0.000 0.500 0.456
0.500 0.000 0.308
0.500 0.000 0.633
0.500 0.500 0.145
0.500 0.500 0.806
```

Calculated values
ΔH_f (0 K) = 0.06 eV/atom